1.
VASP calculation (PBE) on a relaxed La3Ho crystal.

Output
Calculated volume = 142.21 Å³/cell

extended XYZ file:
```
4
Lattice="-0.323 3.615 0.818 -1.450 -1.402 5.624 6.181 0.182 1.639" Properties=species:S:1:pos:R:3 pbc="T T T"
La 4.264 1.258 4.587
La 1.333 -0.641 3.358
La 2.917 1.898 1.225
Ho 0.013 0.000 0.004
```

***

2.
VASP calculation (PBE) on a relaxed La13Ho3 crystal.

Output
Calculated volume = 577.38 Å³/cell

extended XYZ file:
```
16
Lattice="-0.480 -3.011 -6.807 -7.582 -3.883 2.252 -3.870 7.336 -2.973" Properties=species:S:1:pos:R:3 pbc="T T T"
La -2.662 1.313 -0.393
La -3.711 -2.238 -0.774
La -6.811 -1.552 1.167
La -9.770 -2.002 -4.572
La -9.528 -0.483 -1.140
La -5.991 0.536 -1.852
La -8.483 3.068 -0.759
La -7.045 -3.038 -2.245
La -6.232 -0.974 -5.265
La -2.896 -0.207 -3.791
La -5.189 2.571 -4.858
La -3.953 -3.756 -4.207
La -8.736 1.555 -4.158
Ho -4.155 6.085 -4.437
Ho -4.396 4.575 -7.849
Ho -4.937 4.110 -1.470
```

***

3.
VASP calculation (PBE) on a relaxed La4Ho3 crystal.

Output
Energy relative to the lowest polymorph listed for this composition = 0.0000 eV/atom
Calculated volume = 242.17 Å³/cell

extended XYZ file:
```
7
Lattice="-2.100 3.587 -3.116 -6.820 0.037 4.637 3.965 2.292 4.296" Properties=species:S:1:pos:R:3 pbc="T T T"
Ho 0.000 0.000 0.000
Ho 0.543 3.515 3.681
Ho -5.497 2.400 2.137
La -2.899 4.729 3.068
La -4.179 2.377 5.551
La -0.775 3.538 0.266
La -2.055 1.186 2.750
```

***

4.
VASP calculation (PBE) on a relaxed LaHo crystal.

Output
Energy relative to the lowest polymorph listed for this composition = 0.1396 eV/atom
Calculated volume = 138.30 Å³/cell

extended XYZ file:
```
4
Lattice="5.776 0.000 0.000 2.888 5.002 0.000 2.888 1.667 4.787" Properties=species:S:1:pos:R:3 pbc="T T T"
Ho 5.776 3.335 0.487
Ho 5.776 3.335 4.299
La 2.888 1.667 3.132
La 8.664 5.002 1.655
```

***

Asked for formation energy from the elements across the records above, the calculation gives 0.03; 0.04; 0.03; 0.16 eV/atom in order.